DFT (GGA-PBE) results for a geometry-optimized Ba2CeNpSe6 structure.

Its crystal system is monoclinic. The uncorrected formation energy is -1.65 eV/atom. For the density of states at the Fermi level, the calculation gives 19.06 states/eV per cell. Its total energy is -120.19 eV for the cell shown.

It has space group P2_1/c (No. 14), with a = 7.501 Å, b = 7.929 Å, c = 13.217 Å, α = 90.00°, β = 124.53° and γ = 90.00°. The inequivalent atoms are Ba at (0.228, 0.072, 0.250), Ce at (0.500, 0.000, 0.000), Np at (0.000, 0.000, 0.500), Se at (0.146, 0.203, 0.951), Se at (0.252, 0.698, 0.952) and Se at (0.339, 0.022, 0.747).